(1)
The following is a DFT calculation (GGA-PBE) of LiNiIr3 after structural relaxation.

ΔE_f ... 1.044 eV per atom

Cell lengths 4.0849, 4.0849, 4.0849 Å; angles 90.00, 90.00, 90.00 degrees
Closest atoms and distances in Å follow each position.
Space group Pm-3m (No. 221)
One atom of each set of equivalent atoms:
Li1 0.0000 0.0000 0.0000 x1  6 Ir 2.04
Ni1 0.5000 0.5000 0.5000 x1  12 Ir 2.89
Ir1 0.0000 0.0000 0.5000 x3  2 Li 2.04

(2)
The following is a DFT calculation (GGA-PBE) of LiNi2Ir2 after structural relaxation.

ΔE_f ... 0.332 eV per atom

Cell lengths 3.7725, 3.7725, 10.7218 Å; angles 90.00, 90.00, 90.00 degrees
Closest atoms and distances in Å follow each position.
Space group I4/mmm (No. 139)
One atom of each set of equivalent atoms:
Li1 0.0000 0.0000 0.0000 x2  8 Ir 2.91
Ni1 0.0000 0.5000 0.2500 x4  4 Ir 2.42, 4 Ni 2.67
Ir1 0.0000 0.0000 0.3916 x4  1 Ir 2.33, 4 Ni 2.42

(3)
The following is a DFT calculation (GGA-PBE) of LiNi2Ir after structural relaxation.

ΔE_f ... 0.059 eV per atom

Cell lengths 2.6210, 2.6210, 25.6107 Å; angles 90.00, 90.00, 120.00 degrees
Closest atoms and distances in Å follow each position.
Space group R-3m (No. 166, hexagonal axes)
One atom of each set of equivalent atoms:
Li1 0.0000 0.0000 0.0000 x3  6 Li 2.62, 6 Ni 2.63
Ni1 0.0000 0.0000 0.2492 x6  3 Ir 2.60, 6 Ni 2.62, 3 Li 2.63
Ir1 0.0000 0.0000 0.5000 x3  6 Ni 2.60, 6 Ir 2.62

(4)
The following is a DFT calculation (GGA-PBE) of LiNiIr after structural relaxation.

ΔE_f ... 0.361 eV per atom

Cell lengths 5.5923, 5.5923, 5.5923 Å; angles 90.00, 90.00, 90.00 degrees
Closest atoms and distances in Å follow each position.
Space group F-43m (No. 216)
One atom of each set of equivalent atoms:
Li1 0.0000 0.0000 0.0000 x4  4 Ni 2.42
Ni1 0.2500 0.2500 0.2500 x4  4 Li 2.42, 4 Ir 2.42
Ir1 0.0000 0.0000 0.5000 x4  4 Ni 2.42

(5)
The following is a DFT calculation (GGA-PBE) of LiNi2Ir after structural relaxation.

ΔE_f ... 0.007 eV per atom

Cell lengths 8.5806, 2.5475, 4.4684 Å; angles 90.00, 98.11, 90.00 degrees
Closest atoms and distances in Å follow each position.
Space group C2/m (No. 12)
One atom of each set of equivalent atoms:
Li1 0.0000 0.0000 0.0000 x2  6 Ni 2.52-2.66, 2 Li 2.55, 4 Ir 2.57
Ni1 0.2434 0.0000 0.7446 x4  3 Li 2.52-2.66, 6 Ni 2.55-2.60, 3 Ir 2.56-2.59
Ir1 0.0000 0.5000 0.5000 x2  2 Ir 2.55, 6 Ni 2.56-2.59, 4 Li 2.57

(6)
The following is a DFT calculation (GGA-PBE) of Li2NiIr after structural relaxation.

ΔE_f ... -0.077 eV per atom

Cell lengths 2.7294, 4.4041, 8.5881 Å; angles 90.00, 90.00, 90.00 degrees
Closest atoms and distances in Å follow each position.
Space group Cmmm (No. 65)
One atom of each set of equivalent atoms:
Li1 0.0000 0.0000 0.2442 x4  2 Ni 2.50, 2 Ir 2.59, 6 Li 2.59-2.73
Ni1 0.0000 0.5000 0.0000 x2  4 Li 2.50, 6 Ni 2.59-2.73
Ir1 0.0000 0.5000 0.5000 x2  4 Li 2.59, 6 Ir 2.59-2.73

(7)
The following is a DFT calculation (GGA-PBE) of LiNi2Ir after structural relaxation.

ΔE_f ... 0.048 eV per atom

Cell lengths 2.5531, 3.7504, 5.0655 Å; angles 90.00, 90.00, 90.00 degrees
Closest atoms and distances in Å follow each position.
Space group Pmm2 (No. 25)
One atom of each set of equivalent atoms:
Li1 0.0000 0.0000 0.0000 x1  6 Ni 2.48-2.59, 2 Li 2.55, 4 Ir 2.65
Ni1 0.0000 0.0000 0.4896 x1  2 Li 2.48-2.59, 6 Ni 2.55-2.62, 4 Ir 2.57
Ni2 0.5000 0.5000 0.2322 x1  2 Ir 2.52-2.55, 6 Ni 2.55-2.62, 4 Li 2.56
Ir1 0.5000 0.5000 0.7293 x1  6 Ni 2.52-2.57, 2 Ir 2.55, 4 Li 2.65

(8)
The following is a DFT calculation (GGA-PBE) of Li2NiIr after structural relaxation.

ΔE_f ... 0.076 eV per atom

Cell lengths 2.7990, 4.4294, 9.0233 Å; angles 90.00, 90.00, 90.00 degrees
Closest atoms and distances in Å follow each position.
Space group Cmm2 (No. 35)
One atom of each set of equivalent atoms:
Li1 0.0000 0.0000 0.0000 x2  2 Ir 2.57, 6 Li 2.62-2.80
Li2 0.0000 0.5000 0.2977 x2  2 Ni 2.48, 4 Li 2.62
Ni1 0.0000 0.0000 0.5242 x2  2 Li 2.48, 2 Ir 2.56, 4 Ni 2.62
Ir1 0.0000 0.5000 0.7615 x2  2 Ni 2.56, 2 Li 2.57, 6 Ir 2.62-2.80

no.,E_tot (eV per atom)
1,-5.81
2,-5.91
3,-5.53
4,-5.16
5,-5.58
6,-4.69
7,-5.54
8,-4.54